Record 1
Material: GdPu2Pt
Method: DFT, PBE
State: relaxed

Summary:
The value obtained for the formation energy is -294 meV per atom. The value obtained for the energy relative to the lowest polymorph listed for this composition is 0 meV per atom. The space group is No. 123.

Cell: 3.7202 3.7202 7.2463 Å, 90.00 90.00 90.00°
Atoms (fractional coordinates):
Gd1 0.5000 0.5000 0.5000
Pt1 0.5000 0.5000 0.0000
Pu1 0.0000 0.0000 0.7946
Pu2 0.0000 0.0000 0.2054

---

Record 2
Material: GdPuPtRh
Method: DFT, PBE
State: relaxed

Summary:
The value obtained for the formation energy is -749 meV per atom. The space group is No. 216.

Cell: 4.9279 4.9279 4.9279 Å, 60.00 60.00 60.00°
Atoms (fractional coordinates):
Gd1 0.5000 0.5000 0.5000
Rh1 0.7500 0.7500 0.7500
Pt1 0.2500 0.2500 0.2500
Pu1 0.0000 0.0000 0.0000

---

Record 3
Material: GdPuRuPt
Method: DFT, PBE
State: relaxed

Summary:
The value obtained for the formation energy is -530 meV per atom. The space group is No. 216.

Cell: 4.8911 4.8911 4.8911 Å, 60.00 60.00 60.00°
Atoms (fractional coordinates):
Ru1 0.2500 0.2500 0.2500
Gd1 0.5000 0.5000 0.5000
Pt1 0.7500 0.7500 0.7500
Pu1 0.0000 0.0000 0.0000

---

Record 4
Material: GdPuSiPt
Method: DFT, PBE
State: relaxed

Summary:
For the energy relative to the elements, uncorrected, the calculation gives -59.63 kJ per mole of atoms. The space group is No. 216.

Cell: 5.0112 5.0112 5.0112 Å, 60.00 60.00 60.00°
Atoms (fractional coordinates):
Si1 0.2500 0.2500 0.2500
Gd1 0.5000 0.5000 0.5000
Pt1 0.7500 0.7500 0.7500
Pu1 0.0000 0.0000 0.0000